A plane-wave DFT calculation with PBE-GGA was carried out for an optimized crystal structure of CrTc2Rh.

abc: 4.6600 4.6600 4.6909
angles: 80.26 80.26 33.48
Atoms (fractional coordinates):
Cr  0.5001  0.5001  0.4965
Rh  0.2468  0.2468  0.2596
Tc  0.9975  0.9975  0.9976
Tc  0.7555  0.7555  0.7464

Summary:
SG: Cm (8)
Formation enthalpy at 0 K (eV/atom): 0.05


A plane-wave DFT calculation with PBE-GGA was carried out for an optimized crystal structure of Ti3Mn.

abc: 3.0474 4.4612 5.2296
angles: 115.25 106.94 90.00
Atoms (fractional coordinates):
Mn  0.0000  0.9165  0.0000
Ti  0.2849  0.7016  0.5697
Ti  0.5000  0.4167  0.0000
Ti  0.7151  0.1319  0.4303

Summary:
SG: Immm (71)
Formation enthalpy at 0 K (eV/atom): -0.15


A plane-wave DFT calculation with PBE-GGA was carried out for an optimized crystal structure of FeCo2Pd.

abc: 4.1407 4.1407 4.1407
angles: 60.00 60.00 60.00
Atoms (fractional coordinates):
Co  0.2500  0.2500  0.2500
Co  0.7500  0.7500  0.7500
Fe  0.0000  0.0000  0.0000
Pd  0.5000  0.5000  0.5000

Summary:
SG: Fm-3m (225)
Formation enthalpy at 0 K (eV/atom): 0.12


A plane-wave DFT calculation with PBE-GGA was carried out for an optimized crystal structure of BeCdS3.

abc: 4.9245 4.9245 4.9245
angles: 90.00 90.00 90.00
Atoms (fractional coordinates):
Be  0.5000  0.5000  0.5000
S  0.0000  0.5000  0.0000
S  0.0000  0.0000  0.5000
S  0.5000  0.0000  0.0000
Cd  0.0000  0.0000  0.0000

Summary:
SG: Pm-3m (221)
Energy relative to the elements, uncorrected (eV per atom): 1.17


A plane-wave DFT calculation with PBE-GGA was carried out for an optimized crystal structure of LaTlIn.

abc: 5.1556 5.1556 7.6040
angles: 90.00 90.00 120.01
Atoms (fractional coordinates):
La  0.0000  0.5000  0.5000
La  0.0000  0.5000  0.0000
Tl  0.3334  0.1666  0.2500
Tl  0.6666  0.8334  0.7500
In  0.3333  0.1667  0.7500
In  0.6667  0.8333  0.2500

Summary:
SG: P6_3/mmc (194)
Formation enthalpy at 0 K (eV/atom): -0.39


A plane-wave DFT calculation with PBE-GGA was carried out for an optimized crystal structure of Li3CdHg3.

abc: 6.8190 6.8190 6.1221
angles: 90.00 90.00 89.02
Atoms (fractional coordinates):
Li  0.0000  0.0000  0.7508
Li  0.0000  0.5000  0.2516
Li  0.5000  0.0000  0.2516
Li  0.0000  0.5000  0.7484
Li  0.5000  0.0000  0.7484
Li  0.0000  0.0000  0.2492
Cd  0.7109  0.2891  0.0000
Cd  0.2891  0.7109  0.0000
Hg  0.7321  0.2679  0.5000
Hg  0.2641  0.2641  0.5000
Hg  0.7359  0.7359  0.5000
Hg  0.2580  0.2580  0.0000
Hg  0.7420  0.7420  0.0000
Hg  0.2679  0.7321  0.5000

Summary:
SG: Cmmm (65)
Formation enthalpy at 0 K (eV/atom): -0.26


no.,M_tot (Bohr magnetons per cell)
1,0.0
2,0.0
3,6.5
4,0.0
5,0.0
6,0.0